No. 1
The following is a PBE calculation of a relaxed ZrZn2Pt2 crystal, from the Open Quantum Materials Database.

Output
Crystal system: tetragonal
Distance to the lowest polymorph of the same formula: 226 meV per atom
Formation enthalpy at 0 K: -436 meV per atom

a = 4.008 Å, b = 4.008 Å, c = 10.564 Å
α = 90.00°, β = 90.00°, γ = 90.00°
Space group I4/mmm (No. 139)
Inequivalent atoms, fractional coordinates:
Zr (0.000, 0.000, 0.000)
Zn (0.000, 0.000, 0.393)
Pt (0.000, 0.500, 0.250)


No. 2
The following is a PBE calculation of a relaxed Ge2MoPb crystal, from the Open Quantum Materials Database.

Output
Calculated total energy: -83.1 eV/cell
Crystal system: cubic

a = 6.826 Å, b = 6.826 Å, c = 6.826 Å
α = 90.00°, β = 90.00°, γ = 90.00°
Space group F-43m (No. 216)
Inequivalent atoms, fractional coordinates:
Ge (0.000, 0.000, 0.000)
Ge (0.250, 0.250, 0.250)
Mo (0.250, 0.250, 0.750)
Pb (0.000, 0.000, 0.500)